[1]
DFT (GGA-PBEsol) results for a relaxed Rb2AlInI6 crystal.

Output
Crystal system: cubic
Total magnetic moment: 0.00 μB/f.u.
Formation energy (no corrections): -0.885 eV/atom

Lattice parameters (Å, degrees): 11.8357 11.8357 11.8357 90.00 90.00 90.00
Space group Fm-3m (No. 225)
One atom of each set of equivalent atoms:
Rb (0.2500, 0.2500, 0.2500)
Al (0.0000, 0.0000, 0.0000)
In (0.0000, 0.0000, 0.5000)
I (0.0000, 0.0000, 0.2328)

=====

[2]
DFT (GGA-PBEsol) results for a relaxed ReAgOs2 crystal.

Output
Crystal system: orthorhombic
Total magnetic moment: 0.00 μB/f.u.
Formation energy from the elements: 502 meV per atom
Excess energy over the best structure of this formula in the dataset: 249 meV/atom

Lattice parameters (Å, degrees): 2.7283 3.9080 5.4762 90.00 90.00 90.00
Space group Pmm2 (No. 25)
One atom of each set of equivalent atoms:
Re (0.0000, 0.0000, 0.0000)
Ag (0.5000, 0.5000, 0.2680)
Os (0.0000, 0.0000, 0.5303)
Os (0.5000, 0.5000, 0.7681)